# PBE-GGA CaAc3Er3Te8, optimized geometry
# * formation energy from raw total energies: -1.444 eV/atom
# * total magnetization: 0.000 μB per atom
# * uncorrected energy: -4.988 eV per atom
data_CaAc3Er3Te8
_cell_length_a 8.9286
_cell_length_b 8.9286
_cell_length_c 22.6154
_cell_angle_alpha 90.00
_cell_angle_beta 90.00
_cell_angle_gamma 120.00
_symmetry_space_group_name_H-M 'R -3 m'
_symmetry_Int_Tables_number 166
_symmetry_space_group_name_Hall '-R 3 2"'
loop_
_atom_site_label
_atom_site_fract_x
_atom_site_fract_y
_atom_site_fract_z
Ca1 0.0000 0.0000 0.0000
Ac1 0.0000 0.5000 0.5000
Er1 0.0000 0.5000 0.0000
Te1 0.0000 0.0000 0.2595
Te2 0.0140 0.5070 0.2559



# PBE-GGA Sr2Ag2Hg, optimized geometry
# * total magnetization: 0.000 μB per atom
# * uncorrected energy: -2.231 eV per atom
data_Sr2Ag2Hg
_cell_length_a 11.819
_cell_length_b 4.812
_cell_length_c 11.768
_cell_angle_alpha 90.00
_cell_angle_beta 116.93
_cell_angle_gamma 90.00
_symmetry_space_group_name_H-M 'C 1 2/m 1'
_symmetry_Int_Tables_number 12
loop_
_symmetry_equiv_pos_as_xyz
'x,y,z'
'-x,-y,-z'
'-x,y,-z'
'x,-y,z'
'x+1/2,y+1/2,z'
'-x+1/2,-y+1/2,-z'
'-x+1/2,y+1/2,-z'
'x+1/2,-y+1/2,z'
loop_
_atom_site_label
_atom_site_fract_x
_atom_site_fract_y
_atom_site_fract_z
Sr1 0.017 0.000 0.339
Sr2 0.192 0.000 0.113
Ag1 0.023 0.500 0.891
Ag2 0.135 0.500 0.560
Hg1 0.222 0.500 0.342



# PBE-GGA BeInFePb2, optimized geometry
# * total magnetization: 0.571 μB per atom
# * uncorrected energy: -3.077 eV per atom
data_BeInFePb2
_cell_length_a 5.725
_cell_length_b 5.725
_cell_length_c 4.957
_cell_angle_alpha 90.00
_cell_angle_beta 90.00
_cell_angle_gamma 90.00
_symmetry_space_group_name_H-M 'P 4/m m m'
_symmetry_Int_Tables_number 123
_symmetry_space_group_name_Hall '-P 4 2'
loop_
_atom_site_label
_atom_site_fract_x
_atom_site_fract_y
_atom_site_fract_z
Be1 0.000 0.000 0.000
In1 0.500 0.500 0.500
Fe1 0.500 0.500 0.000
Pb1 0.000 0.500 0.500



# PBE-GGA LiMnRe2, optimized geometry
# * total magnetization: 0.000 μB per atom
# * uncorrected energy: -8.662 eV per atom
data_LiMnRe2
_cell_length_a 5.874
_cell_length_b 5.874
_cell_length_c 5.874
_cell_angle_alpha 90.00
_cell_angle_beta 90.00
_cell_angle_gamma 90.00
_symmetry_space_group_name_H-M 'F m -3 m'
_symmetry_Int_Tables_number 225
_symmetry_space_group_name_Hall '-F 4 2 3'
loop_
_atom_site_label
_atom_site_fract_x
_atom_site_fract_y
_atom_site_fract_z
Li1 0.000 0.000 0.000
Mn1 0.000 0.000 0.500
Re1 0.250 0.250 0.250



# PBE-GGA Sc2Nb2Ge2C, optimized geometry
# * total magnetization: 0.000 μB per atom
# * uncorrected energy: -7.910 eV per atom
data_Sc2Nb2Ge2C
_cell_length_a 4.233
_cell_length_b 4.233
_cell_length_c 14.195
_cell_angle_alpha 90.00
_cell_angle_beta 90.00
_cell_angle_gamma 90.00
_symmetry_space_group_name_H-M 'I 4/m m m'
_symmetry_Int_Tables_number 139
_symmetry_space_group_name_Hall '-I 4 2'
loop_
_atom_site_label
_atom_site_fract_x
_atom_site_fract_y
_atom_site_fract_z
Sc1 0.000 0.000 0.163
Nb1 0.000 0.500 0.000
Ge1 0.000 0.000 0.363
C1 0.000 0.000 0.000



# PBE-GGA AlPtBr, optimized geometry
# * formation energy from raw total energies: -0.039 eV/atom
# * total magnetization: 0.000 μB per atom
# * uncorrected energy: -3.857 eV per atom
data_AlPtBr
_cell_length_a 6.319
_cell_length_b 6.319
_cell_length_c 6.319
_cell_angle_alpha 90.00
_cell_angle_beta 90.00
_cell_angle_gamma 90.00
_symmetry_space_group_name_H-M 'F -4 3 m'
_symmetry_Int_Tables_number 216
_symmetry_space_group_name_Hall 'F -4 2 3'
loop_
_atom_site_label
_atom_site_fract_x
_atom_site_fract_y
_atom_site_fract_z
Al1 0.000 0.000 0.000
Pt1 0.250 0.250 0.750
Br1 0.000 0.000 0.500



# PBE-GGA CoReTc2, optimized geometry
# * total magnetization: 0.202 μB per atom
# * uncorrected energy: -9.947 eV per atom
data_CoReTc2
_cell_length_a 2.7144
_cell_length_b 2.7144
_cell_length_c 26.0930
_cell_angle_alpha 90.00
_cell_angle_beta 90.00
_cell_angle_gamma 120.00
_symmetry_space_group_name_H-M 'R -3 m'
_symmetry_Int_Tables_number 166
_symmetry_space_group_name_Hall '-R 3 2"'
loop_
_atom_site_label
_atom_site_fract_x
_atom_site_fract_y
_atom_site_fract_z
Co1 0.0000 0.0000 0.0000
Re1 0.0000 0.0000 0.5000
Tc1 0.0000 0.0000 0.2531



# PBE-GGA SnOs, optimized geometry
# * total magnetization: 0.000 μB per atom
# * uncorrected energy: -6.977 eV per atom
data_SnOs
_cell_length_a 5.747
_cell_length_b 8.190
_cell_length_c 13.839
_cell_angle_alpha 90.00
_cell_angle_beta 90.00
_cell_angle_gamma 90.00
_symmetry_space_group_name_H-M 'F d d d'
_symmetry_Int_Tables_number 70
loop_
_symmetry_equiv_pos_as_xyz
'x,y,z'
'-x,-y,-z'
'-x+1/4,-y+1/4,z'
'x+1/4,y+1/4,-z'
'x,-y+1/4,-z+1/4'
'-x,y+1/4,z+1/4'
'-x+1/4,y,-z+1/4'
'x+1/4,-y,z+1/4'
'x,y+1/2,z+1/2'
'-x,-y+1/2,-z+1/2'
'-x+1/4,-y+3/4,z+1/2'
'x+1/4,y+3/4,-z+1/2'
'x,-y+3/4,-z+3/4'
'-x,y+3/4,z+3/4'
'-x+1/4,y+1/2,-z+3/4'
'x+1/4,-y+1/2,z+3/4'
'x+1/2,y,z+1/2'
'-x+1/2,-y,-z+1/2'
'-x+3/4,-y+1/4,z+1/2'
'x+3/4,y+1/4,-z+1/2'
'x+1/2,-y+1/4,-z+3/4'
'-x+1/2,y+1/4,z+3/4'
'-x+3/4,y,-z+3/4'
'x+3/4,-y,z+3/4'
'x+1/2,y+1/2,z'
'-x+1/2,-y+1/2,-z'
'-x+3/4,-y+3/4,z'
'x+3/4,y+3/4,-z'
'x+1/2,-y+3/4,-z+1/4'
'-x+1/2,y+3/4,z+1/4'
'-x+3/4,y+1/2,-z+1/4'
'x+3/4,-y+1/2,z+1/4'
loop_
_atom_site_label
_atom_site_fract_x
_atom_site_fract_y
_atom_site_fract_z
Sn1 0.125 0.301 0.125
Os1 0.125 0.125 0.537



# PBE-GGA Tb5PmSb6, optimized geometry
# * formation energy from raw total energies: -1.154 eV/atom
# * total magnetization: 0.000 μB per atom
# * uncorrected energy: -5.540 eV per atom
data_Tb5PmSb6
_cell_length_a 7.653
_cell_length_b 13.256
_cell_length_c 7.652
_cell_angle_alpha 90.00
_cell_angle_beta 109.49
_cell_angle_gamma 90.00
_symmetry_space_group_name_H-M 'C 1 2/m 1'
_symmetry_Int_Tables_number 12
loop_
_symmetry_equiv_pos_as_xyz
'x,y,z'
'-x,-y,-z'
'-x,y,-z'
'x,-y,z'
'x+1/2,y+1/2,z'
'-x+1/2,-y+1/2,-z'
'-x+1/2,y+1/2,-z'
'x+1/2,-y+1/2,z'
loop_
_atom_site_label
_atom_site_fract_x
_atom_site_fract_y
_atom_site_fract_z
Tb1 0.000 0.000 0.000
Tb2 0.000 0.167 0.500
Tb3 0.000 0.335 0.000
Pm1 0.000 0.500 0.500
Sb1 0.247 0.000 0.751
Sb2 0.247 0.168 0.248



# PBE-GGA Na3AcY2Se6, optimized geometry
# * formation energy from raw total energies: -1.708 eV/atom
# * total magnetization: 0.000 μB per atom
# * uncorrected energy: -5.200 eV per atom
data_Na3AcY2Se6
_cell_length_a 7.406
_cell_length_b 12.833
_cell_length_c 7.447
_cell_angle_alpha 90.00
_cell_angle_beta 109.47
_cell_angle_gamma 90.00
_symmetry_space_group_name_H-M 'C 1 2/m 1'
_symmetry_Int_Tables_number 12
loop_
_symmetry_equiv_pos_as_xyz
'x,y,z'
'-x,-y,-z'
'-x,y,-z'
'x,-y,z'
'x+1/2,y+1/2,z'
'-x+1/2,-y+1/2,-z'
'-x+1/2,y+1/2,-z'
'x+1/2,-y+1/2,z'
loop_
_atom_site_label
_atom_site_fract_x
_atom_site_fract_y
_atom_site_fract_z
Na1 0.000 0.000 0.000
Na2 0.000 0.334 0.000
Ac1 0.000 0.500 0.500
Y1 0.000 0.167 0.500
Se1 0.227 0.000 0.735
Se2 0.246 0.176 0.267



# PBE-GGA PrYLuTl, optimized geometry
# * total magnetization: 0.230 μB per atom
# * uncorrected energy: -4.602 eV per atom
data_PrYLuTl
_cell_length_a 7.807
_cell_length_b 7.807
_cell_length_c 7.807
_cell_angle_alpha 90.00
_cell_angle_beta 90.00
_cell_angle_gamma 90.00
_symmetry_space_group_name_H-M 'F -4 3 m'
_symmetry_Int_Tables_number 216
_symmetry_space_group_name_Hall 'F -4 2 3'
loop_
_atom_site_label
_atom_site_fract_x
_atom_site_fract_y
_atom_site_fract_z
Pr1 0.000 0.000 0.000
Y1 0.000 0.000 0.500
Lu1 0.250 0.250 0.250
Tl1 0.250 0.250 0.750



# PBE-GGA Rb2LaInTe4, optimized geometry
# * formation energy from raw total energies: -0.970 eV/atom
# * total magnetization: 0.000 μB per atom
# * uncorrected energy: -3.740 eV per atom
data_Rb2LaInTe4
_cell_length_a 9.332
_cell_length_b 9.788
_cell_length_c 13.767
_cell_angle_alpha 90.00
_cell_angle_beta 90.00
_cell_angle_gamma 90.00
_symmetry_space_group_name_H-M 'I m m a'
_symmetry_Int_Tables_number 74
_symmetry_space_group_name_Hall '-I 2b 2'
loop_
_atom_site_label
_atom_site_fract_x
_atom_site_fract_y
_atom_site_fract_z
Rb1 0.000 0.000 0.000
Rb2 0.250 0.250 0.250
La1 0.000 0.000 0.500
In1 0.250 0.250 0.750
Te1 0.000 0.044 0.740
Te2 0.226 0.250 0.516



# PBE-GGA CrNi7Rh4, optimized geometry
# * total magnetization: 0.209 μB per atom
# * uncorrected energy: -6.306 eV per atom
data_CrNi7Rh4
_cell_length_a 8.670
_cell_length_b 4.239
_cell_length_c 8.797
_cell_angle_alpha 90.00
_cell_angle_beta 108.14
_cell_angle_gamma 90.00
_symmetry_space_group_name_H-M 'C 1 2/m 1'
_symmetry_Int_Tables_number 12
loop_
_symmetry_equiv_pos_as_xyz
'x,y,z'
'-x,-y,-z'
'-x,y,-z'
'x,-y,z'
'x+1/2,y+1/2,z'
'-x+1/2,-y+1/2,-z'
'-x+1/2,y+1/2,-z'
'x+1/2,-y+1/2,z'
loop_
_atom_site_label
_atom_site_fract_x
_atom_site_fract_y
_atom_site_fract_z
Cr1 0.000 0.000 0.000
Ni1 0.000 0.500 0.000
Ni2 0.132 0.000 0.474
Ni3 0.133 0.500 0.614
Ni4 0.231 0.500 0.907
Rh1 0.099 0.000 0.773
Rh2 0.116 0.500 0.292



# PBE-GGA SmTcHgO6, optimized geometry
# * formation energy from raw total energies: -1.582 eV/atom
# * total magnetization: 0.000 μB per atom
# * uncorrected energy: -6.597 eV per atom
data_SmTcHgO6
_cell_length_a 5.852
_cell_length_b 10.011
_cell_length_c 5.487
_cell_angle_alpha 90.00
_cell_angle_beta 108.65
_cell_angle_gamma 90.00
_symmetry_space_group_name_H-M 'C 1 2 1'
_symmetry_Int_Tables_number 5
loop_
_symmetry_equiv_pos_as_xyz
'x,y,z'
'-x,y,-z'
'x+1/2,y+1/2,z'
'-x+1/2,y+1/2,-z'
loop_
_atom_site_label
_atom_site_fract_x
_atom_site_fract_y
_atom_site_fract_z
Sm1 0.000 0.000 0.000
Tc1 0.000 0.643 0.000
Hg1 0.000 0.311 0.500
O1 0.180 0.818 0.214
O2 0.206 0.665 0.813
O3 0.211 0.534 0.221



# PBE-GGA TaCdTe2, optimized geometry
# * formation energy from raw total energies: 0.153 eV/atom
# * total magnetization: 0.000 μB per atom
# * uncorrected energy: -4.610 eV per atom
data_TaCdTe2
_cell_length_a 3.330
_cell_length_b 3.330
_cell_length_c 9.256
_cell_angle_alpha 90.00
_cell_angle_beta 90.00
_cell_angle_gamma 90.00
_symmetry_space_group_name_H-M 'P 4 m m'
_symmetry_Int_Tables_number 99
loop_
_symmetry_equiv_pos_as_xyz
'x,y,z'
'-y,x,z'
'-x,-y,z'
'y,-x,z'
'-x,y,z'
'y,x,z'
'x,-y,z'
'-y,-x,z'
loop_
_atom_site_label
_atom_site_fract_x
_atom_site_fract_y
_atom_site_fract_z
Ta1 0.000 0.000 0.000
Cd1 0.500 0.500 0.786
Te1 0.000 0.000 0.514
Te2 0.500 0.500 0.170



# PBE-GGA Ag3Hg2Pd, optimized geometry
# * total magnetization: 0.000 μB per atom
# * uncorrected energy: -2.389 eV per atom
data_Ag3Hg2Pd
_cell_length_a 3.115
_cell_length_b 5.014
_cell_length_c 7.417
_cell_angle_alpha 94.33
_cell_angle_beta 101.56
_cell_angle_gamma 90.09
_symmetry_space_group_name_H-M 'P -1'
_symmetry_Int_Tables_number 2
loop_
_symmetry_equiv_pos_as_xyz
'x,y,z'
'-x,-y,-z'
loop_
_atom_site_label
_atom_site_fract_x
_atom_site_fract_y
_atom_site_fract_z
Ag1 0.000 0.000 0.000
Ag2 0.337 0.103 0.668
Hg1 0.153 0.397 0.315
Pd1 0.500 0.500 0.000



# PBE-GGA FeHg2Ru, optimized geometry
# * total magnetization: 0.836 μB per atom
# * uncorrected energy: -3.999 eV per atom
data_FeHg2Ru
_cell_length_a 3.353
_cell_length_b 3.353
_cell_length_c 6.048
_cell_angle_alpha 90.00
_cell_angle_beta 90.00
_cell_angle_gamma 90.00
_symmetry_space_group_name_H-M 'P 4/m m m'
_symmetry_Int_Tables_number 123
_symmetry_space_group_name_Hall '-P 4 2'
loop_
_atom_site_label
_atom_site_fract_x
_atom_site_fract_y
_atom_site_fract_z
Fe1 0.000 0.000 0.000
Hg1 0.500 0.500 0.245
Ru1 0.000 0.000 0.500



# PBE-GGA Y2TiHPb, optimized geometry
# * total magnetization: 0.000 μB per atom
# * uncorrected energy: -5.827 eV per atom
data_Y2TiHPb
_cell_length_a 4.781
_cell_length_b 4.781
_cell_length_c 4.428
_cell_angle_alpha 90.00
_cell_angle_beta 90.00
_cell_angle_gamma 90.00
_symmetry_space_group_name_H-M 'P 4/m m m'
_symmetry_Int_Tables_number 123
_symmetry_space_group_name_Hall '-P 4 2'
loop_
_atom_site_label
_atom_site_fract_x
_atom_site_fract_y
_atom_site_fract_z
Y1 0.000 0.500 0.000
Ti1 0.000 0.000 0.500
H1 0.000 0.000 0.000
Pb1 0.500 0.500 0.500



# PBE-GGA MgCu2Ru, optimized geometry
# * total magnetization: 0.047 μB per atom
# * uncorrected energy: -4.560 eV per atom
data_MgCu2Ru
_cell_length_a 2.7264
_cell_length_b 2.7264
_cell_length_c 26.2964
_cell_angle_alpha 90.00
_cell_angle_beta 90.00
_cell_angle_gamma 120.00
_symmetry_space_group_name_H-M 'R -3 m'
_symmetry_Int_Tables_number 166
_symmetry_space_group_name_Hall '-R 3 2"'
loop_
_atom_site_label
_atom_site_fract_x
_atom_site_fract_y
_atom_site_fract_z
Mg1 0.0000 0.0000 0.0000
Cu1 0.0000 0.0000 0.2481
Ru1 0.0000 0.0000 0.5000



# PBE-GGA Li2ThScTe4, optimized geometry
# * formation energy from raw total energies: -1.123 eV/atom
# * total magnetization: 0.000 μB per atom
# * uncorrected energy: -4.892 eV per atom
data_Li2ThScTe4
_cell_length_a 7.384
_cell_length_b 4.248
_cell_length_c 7.529
_cell_angle_alpha 90.00
_cell_angle_beta 108.71
_cell_angle_gamma 90.00
_symmetry_space_group_name_H-M 'P 1 2/m 1'
_symmetry_Int_Tables_number 10
loop_
_symmetry_equiv_pos_as_xyz
'x,y,z'
'-x,-y,-z'
'-x,y,-z'
'x,-y,z'
loop_
_atom_site_label
_atom_site_fract_x
_atom_site_fract_y
_atom_site_fract_z
Li1 0.000 0.000 0.000
Li2 0.500 0.500 0.000
Th1 0.000 0.500 0.500
Sc1 0.500 0.000 0.500
Te1 0.265 0.500 0.249
Te2 0.270 0.000 0.764



# PBE-GGA Nb6TcW, optimized geometry
# * total magnetization: 0.000 μB per atom
# * uncorrected energy: -10.322 eV per atom
data_Nb6TcW
_cell_length_a 9.5245
_cell_length_b 9.5245
_cell_length_c 5.4681
_cell_angle_alpha 90.00
_cell_angle_beta 90.00
_cell_angle_gamma 120.00
_symmetry_space_group_name_H-M 'R -3 m'
_symmetry_Int_Tables_number 166
_symmetry_space_group_name_Hall '-R 3 2"'
loop_
_atom_site_label
_atom_site_fract_x
_atom_site_fract_y
_atom_site_fract_z
Nb1 0.0018 0.5009 0.2508
Tc1 0.0000 0.0000 0.5000
W1 0.0000 0.0000 0.0000



# PBE-GGA LiTbSb, optimized geometry
# * formation energy from raw total energies: -0.819 eV/atom
# * total magnetization: 0.000 μB per atom
# * uncorrected energy: -4.374 eV per atom
data_LiTbSb
_cell_length_a 7.338
_cell_length_b 4.464
_cell_length_c 12.835
_cell_angle_alpha 90.00
_cell_angle_beta 90.37
_cell_angle_gamma 90.00
_symmetry_space_group_name_H-M 'P 1 21/m 1'
_symmetry_Int_Tables_number 11
loop_
_symmetry_equiv_pos_as_xyz
'x,y,z'
'-x,-y,-z'
'-x,y+1/2,-z'
'x,-y+1/2,z'
loop_
_atom_site_label
_atom_site_fract_x
_atom_site_fract_y
_atom_site_fract_z
Li1 0.005 0.250 0.096
Li2 0.173 0.250 0.451
Li3 0.352 0.750 0.804
Tb1 0.011 0.250 0.689
Tb2 0.342 0.750 0.074
Tb3 0.490 0.750 0.373
Sb1 0.223 0.250 0.906
Sb2 0.227 0.750 0.566
Sb3 0.277 0.250 0.245



# PBE-GGA ScAlZnS4, optimized geometry
# * formation energy from raw total energies: -1.269 eV/atom
# * total magnetization: 0.000 μB per atom
# * uncorrected energy: -5.249 eV per atom
data_ScAlZnS4
_cell_length_a 7.286
_cell_length_b 7.294
_cell_length_c 10.382
_cell_angle_alpha 90.00
_cell_angle_beta 90.00
_cell_angle_gamma 90.00
_symmetry_space_group_name_H-M 'I m m a'
_symmetry_Int_Tables_number 74
_symmetry_space_group_name_Hall '-I 2b 2'
loop_
_atom_site_label
_atom_site_fract_x
_atom_site_fract_y
_atom_site_fract_z
Sc1 0.250 0.250 0.250
Al1 0.000 0.000 0.000
Zn1 0.000 0.250 0.627
S1 0.000 0.006 0.236
S2 0.227 0.250 0.002